Material: LiErZnNi
Method: DFT, PBE
State: relaxed

SG: No. 216
V: 16.3 Å³ per atom
Uncorrected energy: -3.595 eV/atom
DOS at the Fermi energy: 4.9 states/eV/f.u.
Calculated formation energy: -0.8 eV/f.u.

Lattice parameters (Å, degrees): 4.520 4.520 4.520 60.00 60.00 60.00
Fractional coordinates of all 4 atoms:
Ni 0.250 0.250 0.250
Er 0.500 0.500 0.500
Zn 0.000 0.000 0.000
Li 0.750 0.750 0.750